Entry from Alexandria via LeMat-Bulk: a relaxed structure of NaGe2Pd6 (PBE).

Geometry as POSCAR:
```
NaGe2Pd6
1.0
7.9408 0.0000 0.0000
3.9704 6.8769 0.0000
3.9704 2.2923 6.4836
Pd Ge Na
12 4 2
direct
0.5001 0.9999 0.9999 Pd
0.2501 0.2501 0.7499 Pd
0.2501 0.7499 0.2501 Pd
0.7499 0.2501 0.7499 Pd
0.9999 0.5001 0.9999 Pd
0.5001 0.5001 0.9999 Pd
0.9999 0.5001 0.5001 Pd
0.5001 0.9999 0.5001 Pd
0.7499 0.2501 0.2501 Pd
0.2501 0.7499 0.7499 Pd
0.9999 0.9999 0.5001 Pd
0.7499 0.7499 0.2501 Pd
0.1250 0.1250 0.1250 Ge
0.1250 0.6250 0.1250 Ge
0.6250 0.1250 0.1250 Ge
0.1250 0.1250 0.6250 Ge
0.5000 0.5000 0.5000 Na
0.7500 0.7500 0.7500 Na
```

Calculated values
Crystal system: cubic
Size of the total moment, μB/f.u.: 0.00
Symmetry: Fd-3m
E_tot, eV/atom: -4.730

Entry from Alexandria via LeMat-Bulk: a relaxed structure of NaGe2Pd5 (PBE).

Geometry as POSCAR:
```
NaGe2Pd5
1.0
-3.0990 1.3181 -1.8492
-1.6848 -4.5069 -4.3799
-5.0688 -3.5840 1.9487
Ge Pd Na
2 5 1
direct
0.2445 0.2555 0.2555 Ge
0.7555 0.7445 0.7445 Ge
0.6469 0.1556 0.5506 Pd
0.3531 0.4494 0.8444 Pd
0.3531 0.8444 0.4494 Pd
0.6469 0.5506 0.1556 Pd
0.0000 0.5000 0.5000 Pd
0.0000 0.0000 0.0000 Na
```

Calculated values
Crystal system: orthorhombic
Size of the total moment, μB/f.u.: 0.00
Symmetry: Immm
E_tot, eV/atom: -4.998

Entry from Alexandria via LeMat-Bulk: a relaxed structure of NaPm2Ge4Pd3 (PBE).

Geometry as POSCAR:
```
NaPm2Ge4Pd3
1.0
-2.5842 3.3115 -1.0261
-1.8876 -0.2705 3.8808
7.2225 6.8733 3.9922
Ge Pd Pm Na
4 3 2 1
direct
0.0000 0.5000 0.3495 Ge
0.5000 0.5000 0.0000 Ge
0.0000 0.0000 0.0000 Ge
0.5000 0.0000 0.6505 Ge
0.0000 0.0000 0.5000 Pd
0.5000 0.0000 0.8785 Pd
0.0000 0.5000 0.1215 Pd
0.0000 0.5000 0.7590 Pm
0.5000 0.0000 0.2410 Pm
0.5000 0.5000 0.5000 Na
```

Calculated values
Crystal system: tetragonal
Size of the total moment, μB/f.u.: 0.00
Symmetry: P-4m2
E_tot, eV/atom: -5.104

Entry from Alexandria via LeMat-Bulk: a relaxed structure of NaPmGe2Pd5 (PBE).

Geometry as POSCAR:
```
NaPmGe2Pd5
1.0
4.2120 0.0000 0.0000
0.0000 4.2120 0.0000
0.0000 0.0000 9.3795
Pd Ge Pm Na
5 2 1 1
direct
0.0000 0.5000 0.2735 Pd
0.5000 0.5000 0.5000 Pd
0.5000 0.0000 0.2735 Pd
0.0000 0.5000 0.7265 Pd
0.5000 0.0000 0.7265 Pd
0.5000 0.5000 0.1349 Ge
0.5000 0.5000 0.8651 Ge
0.0000 0.0000 0.5000 Pm
0.0000 0.0000 0.0000 Na
```

Calculated values
Crystal system: tetragonal
Size of the total moment, μB/f.u.: 0.00
Symmetry: P4/mmm
E_tot, eV/atom: -5.202

Entry from Alexandria via LeMat-Bulk: a relaxed structure of NaPm2Ge3Pd4 (PBE).

Geometry as POSCAR:
```
NaPm2Ge3Pd4
1.0
-1.5701 3.6844 -1.5456
-1.8567 -2.1433 -3.2230
-8.8064 -1.2704 5.9178
Pd Pm Na Ge
4 2 1 3
direct
0.5000 0.5000 0.0000 Pd
0.0000 0.0000 0.0000 Pd
0.0000 0.5000 0.3573 Pd
0.5000 0.0000 0.6427 Pd
0.0000 0.5000 0.7643 Pm
0.5000 0.0000 0.2357 Pm
0.5000 0.5000 0.5000 Na
0.0000 0.0000 0.5000 Ge
0.0000 0.5000 0.1283 Ge
0.5000 0.0000 0.8717 Ge
```

Calculated values
Crystal system: tetragonal
Size of the total moment, μB/f.u.: 0.00
Symmetry: P-4m2
E_tot, eV/atom: -5.238

Entry from Alexandria via LeMat-Bulk: a relaxed structure of Na2Ge4Pd3Pt (PBE).

Geometry as POSCAR:
```
Na2Ge4Pd3Pt
1.0
4.2523 0.0000 0.0000
0.0000 4.2523 0.0000
0.0000 0.0000 10.5558
Na Ge Pt Pd
2 4 1 3
direct
0.5000 0.0000 0.2514 Na
0.0000 0.5000 0.7486 Na
0.0000 0.5000 0.3710 Ge
0.5000 0.5000 0.0000 Ge
0.5000 0.0000 0.6290 Ge
0.0000 0.0000 0.0000 Ge
0.5000 0.5000 0.5000 Pt
0.0000 0.0000 0.5000 Pd
0.0000 0.5000 0.1363 Pd
0.5000 0.0000 0.8637 Pd
```

Calculated values
Crystal system: tetragonal
Size of the total moment, μB/f.u.: 0.00
Symmetry: P-4m2
E_tot, eV/atom: -4.678

Entry from Alexandria via LeMat-Bulk: a relaxed structure of Na2Ge4PdPt3 (PBE).

Geometry as POSCAR:
```
Na2Ge4PdPt3
1.0
4.2980 0.0000 0.0000
0.0000 4.2980 0.0000
0.0000 0.0000 10.3514
Ge Pt Na Pd
4 3 2 1
direct
0.5000 0.5000 0.0000 Ge
0.5000 0.0000 0.6288 Ge
0.0000 0.5000 0.3712 Ge
0.0000 0.0000 0.0000 Ge
0.0000 0.0000 0.5000 Pt
0.0000 0.5000 0.1314 Pt
0.5000 0.0000 0.8686 Pt
0.5000 0.0000 0.2541 Na
0.0000 0.5000 0.7459 Na
0.5000 0.5000 0.5000 Pd
```

Calculated values
Crystal system: tetragonal
Size of the total moment, μB/f.u.: 0.00
Symmetry: P-4m2
E_tot, eV/atom: -4.918

Entry from Alexandria via LeMat-Bulk: a relaxed structure of RbNa2GePd (PBE).

Geometry as POSCAR:
```
RbNa2GePd
1.0
-5.1252 -1.1119 2.0544
1.2707 -5.4835 0.2022
1.6716 0.5521 4.4690
Na Pd Ge Rb
2 1 1 1
direct
0.5000 0.0000 0.0000 Na
0.0000 0.5000 0.0000 Na
0.0000 0.0000 0.0000 Pd
0.0000 0.0000 0.5000 Ge
0.5000 0.5000 0.5000 Rb
```

Calculated values
Crystal system: tetragonal
Size of the total moment, μB/f.u.: 0.00
Symmetry: P4/mmm
E_tot, eV/atom: -2.829

- E_tot of number 6 (Na2Ge4Pd3Pt)?
  -4.678 eV/atom